K2UIrO6: optimized geometry, PBE-GGA.

The structure belongs to space group I4/mmm (No. 139); the cell edges are 5.792, 5.792 and 10.540 Å and the angles 90.00°, 90.00° and 90.00°. Symmetry generates all atoms from K at (0.000, 0.500, 0.250), U at (0.000, 0.000, 0.000), Ir at (0.000, 0.000, 0.500), O at (0.000, 0.000, 0.181) and O at (0.232, 0.232, 0.500).

For the uncorrected formation energy, the calculation gives -1.99 eV per atom. As for the volume: 17.682 Å³/atom.